1) Material: BaYPt2
Method: DFT, meta-GGA SCAN
State: PBEsol geometry

The structure in POSCAR format:
```
BaYPt2
1.0
3.558 0.000 0.000
0.000 3.558 0.000
0.000 0.000 7.458
Y Ba Pt
1 1 2
direct
0.500 0.500 0.500
0.500 0.500 0.000
0.000 0.000 0.299
0.000 0.000 0.701
```

Results
Its spin magnetization is 0.0000 μB/atom. The mass density is 10.838 g cm⁻³. For the density of states at the Fermi level, the calculation gives 1.4 states/eV/cell. As for the crystal system: tetragonal.

2) Material: BaYPt2
Method: DFT, meta-GGA SCAN
State: PBEsol geometry

The structure in POSCAR format:
```
BaYPt2
1.0
3.927 0.000 -0.018
0.000 4.355 0.000
-1.928 0.000 6.031
Y Ba Pt
1 1 2
direct
0.494 0.000 0.364
0.225 0.500 0.825
0.819 0.000 0.013
0.962 0.500 0.299
```

Results
Its spin magnetization is 0.0000 μB/atom. The mass density is 9.939 g cm⁻³. For the density of states at the Fermi level, the calculation gives 1.5 states/eV/cell. As for the crystal system: monoclinic.

Stability verdict: 1), ahead by 107 meV/atom

1) Material: BaZrPt2
Method: DFT, meta-GGA SCAN
State: PBEsol geometry

The structure in POSCAR format:
```
BaZrPt2
1.0
3.424 0.000 0.000
0.000 3.424 0.000
0.000 0.000 7.639
Pt Zr Ba
2 1 1
direct
0.000 0.000 0.815
0.000 0.000 0.185
0.500 0.500 0.000
0.500 0.500 0.500
```

Results
Its spin magnetization is 0.0000 μB/atom. The mass density is 11.472 g cm⁻³. For the density of states at the Fermi level, the calculation gives 2.7 states/eV/cell. As for the crystal system: tetragonal.

2) Material: BaZrPt2
Method: DFT, meta-GGA SCAN
State: PBEsol geometry

The structure in POSCAR format:
```
BaZrPt2
1.0
-2.653 1.222 1.115
1.445 -1.319 4.884
2.379 4.660 0.554
Pt Zr Ba
2 1 1
direct
0.000 0.000 0.500
0.000 0.500 0.000
0.500 0.500 0.500
0.500 0.000 0.000
```

Results
Its spin magnetization is 0.0000 μB/atom. The mass density is 11.870 g cm⁻³. For the density of states at the Fermi level, the calculation gives 2.5 states/eV/cell. As for the crystal system: tetragonal.

Stability verdict: 1), ahead by 432 meV/atom

1) Material: Ba2ReRh
Method: DFT, meta-GGA SCAN
State: PBEsol geometry

The structure in POSCAR format:
```
Ba2ReRh
1.0
-1.782 2.399 1.648
0.010 -2.423 3.537
5.915 2.996 2.036
Rh Re Ba
1 1 2
direct
0.500 0.500 0.500
0.500 0.500 0.000
0.000 0.000 0.741
0.000 0.000 0.259
```

Results
Its spin magnetization is 0.6669 μB/atom. The mass density is 9.226 g cm⁻³. For the density of states at the Fermi level, the calculation gives 3.1 states/eV/cell. As for the crystal system: orthorhombic.

2) Material: Ba2ReRh
Method: DFT, meta-GGA SCAN
State: PBEsol geometry

The structure in POSCAR format:
```
Ba2ReRh
1.0
4.243 0.000 0.000
0.000 5.007 0.000
0.000 -2.504 5.666
Re Ba Rh
1 2 1
direct
0.000 0.797 0.594
0.500 0.397 0.794
0.000 0.106 0.212
0.500 0.706 0.411
```

Results
Its spin magnetization is 0.0000 μB/atom. The mass density is 7.778 g cm⁻³. For the density of states at the Fermi level, the calculation gives 4.0 states/eV/cell. As for the crystal system: orthorhombic.

Stability verdict: 2), ahead by 754 meV/atom

1) Material: Ba2ReRh
Method: DFT, meta-GGA SCAN
State: PBEsol geometry

The structure in POSCAR format:
```
Ba2ReRh
1.0
3.404 0.000 0.000
1.702 2.948 0.000
1.702 0.983 9.745
Rh Re Ba
1 1 2
direct
0.000 0.000 0.000
0.500 0.500 0.500
0.253 0.253 0.240
0.747 0.747 0.760
```

Results
Its spin magnetization is 0.3367 μB/atom. The mass density is 9.572 g cm⁻³. For the density of states at the Fermi level, the calculation gives 3.3 states/eV/cell. As for the crystal system: trigonal.

2) Material: Ba2ReRh
Method: DFT, meta-GGA SCAN
State: PBEsol geometry

The structure in POSCAR format:
```
Ba2ReRh
1.0
-2.918 -1.334 -1.212
1.771 -2.550 -1.456
-0.938 -5.231 8.018
Ba Re Rh
2 1 1
direct
0.500 0.500 0.330
0.000 0.000 0.916
0.000 0.000 0.585
0.500 0.500 0.669
```

Results
Its spin magnetization is 0.1672 μB/atom. The mass density is 8.274 g cm⁻³. For the density of states at the Fermi level, the calculation gives 4.3 states/eV/cell. As for the crystal system: tetragonal.

Stability verdict: 2), ahead by 726 meV/atom

1) Material: BaScRe2
Method: DFT, meta-GGA SCAN
State: PBEsol geometry

The structure in POSCAR format:
```
BaScRe2
1.0
2.835 0.000 0.000
0.000 5.423 0.000
0.000 -2.711 5.150
Ba Re Sc
1 2 1
direct
0.500 0.500 0.000
0.000 0.500 0.500
0.000 0.000 0.500
0.500 0.000 0.000
```

Results
Its spin magnetization is 0.1263 μB/atom. The mass density is 11.633 g cm⁻³. For the density of states at the Fermi level, the calculation gives 4.2 states/eV/cell. As for the crystal system: orthorhombic.

2) Material: BaScRe2
Method: DFT, meta-GGA SCAN
State: PBEsol geometry

The structure in POSCAR format:
```
BaScRe2
1.0
2.827 0.000 0.000
0.000 2.827 0.000
0.000 0.000 10.031
Ba Sc Re
1 1 2
direct
0.500 0.500 0.500
0.500 0.500 0.000
0.000 0.000 0.784
0.000 0.000 0.216
```

Results
Its spin magnetization is 0.0000 μB/atom. The mass density is 11.488 g cm⁻³. For the density of states at the Fermi level, the calculation gives 3.4 states/eV/cell. As for the crystal system: tetragonal.

Stability verdict: 2), ahead by 280 meV/atom

1) Material: BaSrRe2
Method: DFT, meta-GGA SCAN
State: PBEsol geometry

The structure in POSCAR format:
```
BaSrRe2
1.0
-0.741 3.454 3.527
0.378 -1.236 4.822
3.847 1.666 2.710
Re Ba Sr
2 1 1
direct
0.000 0.000 0.000
0.750 0.750 0.750
0.250 0.250 0.250
0.500 0.500 0.500
```

Results
Its spin magnetization is 0.3630 μB/atom. The mass density is 11.276 g cm⁻³. For the density of states at the Fermi level, the calculation gives 4.4 states/eV/cell. As for the crystal system: cubic.

2) Material: BaSrRe2
Method: DFT, meta-GGA SCAN
State: PBEsol geometry

The structure in POSCAR format:
```
BaSrRe2
1.0
2.863 -0.032 0.000
0.642 5.619 0.000
0.321 2.809 5.395
Re Ba Sr
2 1 1
direct
0.000 0.000 0.500
0.000 0.500 0.500
0.500 0.500 0.000
0.500 0.000 0.000
```

Results
Its spin magnetization is 0.0000 μB/atom. The mass density is 11.414 g cm⁻³. For the density of states at the Fermi level, the calculation gives 2.7 states/eV/cell. As for the crystal system: monoclinic.

3) Material: BaSrRe2
Method: DFT, meta-GGA SCAN
State: PBEsol geometry

The structure in POSCAR format:
```
BaSrRe2
1.0
2.973 0.000 0.000
1.486 2.574 0.000
1.486 0.858 11.284
Sr Re Ba
1 2 1
direct
0.500 0.500 0.500
0.246 0.246 0.261
0.754 0.754 0.739
0.000 0.000 0.000
```

Results
Its spin magnetization is 0.0001 μB/atom. The mass density is 11.488 g cm⁻³. For the density of states at the Fermi level, the calculation gives 3.5 states/eV/cell. As for the crystal system: trigonal.

Stability verdict: 2), ahead by 37 meV/atom

1) Material: BaSrRe2
Method: DFT, meta-GGA SCAN
State: PBEsol geometry

The structure in POSCAR format:
```
BaSrRe2
1.0
-1.433 1.701 1.767
-1.853 -2.097 0.490
6.103 -3.459 8.279
Sr Re Ba
1 2 1
direct
0.500 0.500 0.500
0.000 0.000 0.261
0.000 0.000 0.739
0.500 0.500 0.000
```

Results
Its spin magnetization is 0.0000 μB/atom. The mass density is 11.327 g cm⁻³. For the density of states at the Fermi level, the calculation gives 2.4 states/eV/cell. As for the crystal system: orthorhombic.

2) Material: BaSrRe2
Method: DFT, meta-GGA SCAN
State: PBEsol geometry

The structure in POSCAR format:
```
BaSrRe2
1.0
3.768 0.000 0.000
0.000 5.412 0.000
-1.884 -2.706 5.469
Re Sr Ba
2 1 1
direct
0.683 0.183 0.367
0.055 0.055 0.110
0.490 0.490 0.979
0.272 0.772 0.543
```

Results
Its spin magnetization is 0.0000 μB/atom. The mass density is 8.894 g cm⁻³. For the density of states at the Fermi level, the calculation gives 3.5 states/eV/cell. As for the crystal system: orthorhombic.

Stability verdict: 2), ahead by 864 meV/atom

1) Material: BaSr2Re
Method: DFT, meta-GGA SCAN
State: PBEsol geometry

The structure in POSCAR format:
```
BaSr2Re
1.0
5.120 0.000 0.000
-2.560 5.285 -0.003
0.000 2.483 4.478
Re Sr Ba
1 2 1
direct
0.000 0.000 0.000
0.750 0.500 0.750
0.250 0.500 0.250
0.500 0.000 0.500
```

Results
Its spin magnetization is 0.2059 μB/atom. The mass density is 6.834 g cm⁻³. For the density of states at the Fermi level, the calculation gives 4.5 states/eV/cell. As for the crystal system: tetragonal.

2) Material: BaSr2Re
Method: DFT, meta-GGA SCAN
State: PBEsol geometry

The structure in POSCAR format:
```
BaSr2Re
1.0
5.521 0.000 0.000
2.761 4.782 0.000
2.761 1.594 4.508
Sr Ba Re
2 1 1
direct
0.750 0.750 0.750
0.000 0.000 0.000
0.500 0.500 0.500
0.250 0.250 0.250
```

Results
Its spin magnetization is 0.3247 μB/atom. The mass density is 6.959 g cm⁻³. For the density of states at the Fermi level, the calculation gives 6.1 states/eV/cell. As for the crystal system: cubic.

Stability verdict: 1), ahead by 32 meV/atom